No. 1
AlSi5: PBEsol geometry, meta-GGA SCAN.

Cell and atoms, written as POSCAR:
```
AlSi5
1.0
-1.686 -0.762 -2.025
-1.651 -1.205 1.829
-5.839 9.785 1.177
Al Si
1 5
direct
0.500 0.500 0.000
0.500 0.500 0.665
0.000 0.000 0.171
0.000 0.000 0.500
0.500 0.500 0.335
0.000 0.000 0.829
```

## Properties
As for the crystal system: tetragonal. The space group is No. 123. The final energy comes out at -9.09 eV/atom. The density of states at the Fermi level is 0.371 states/eV/atom. The value obtained for the energy above the lowest structure with this stoichiometry is 0.000 kcal/mol of atoms. The raw formation energy is 12.631 kcal/mol of atoms.



No. 2
AlSi3: PBEsol geometry, meta-GGA SCAN.

Cell and atoms, written as POSCAR:
```
AlSi3
1.0
2.797 0.000 0.000
0.000 3.787 0.000
0.000 0.000 5.462
Si Al
3 1
direct
0.000 0.000 0.500
0.500 0.500 0.262
0.500 0.500 0.738
0.000 0.000 0.000
```

## Properties
As for the crystal system: orthorhombic. The space group is No. 47. The final energy comes out at -8.98 eV/atom. The density of states at the Fermi level is 0.365 states/eV/atom. The value obtained for the energy above the lowest structure with this stoichiometry is 0.000 kcal/mol of atoms. The raw formation energy is 10.835 kcal/mol of atoms.



No. 3
Al3Si: PBEsol geometry, meta-GGA SCAN.

Cell and atoms, written as POSCAR:
```
Al3Si
1.0
2.890 0.000 0.000
0.000 3.778 0.000
0.000 0.000 5.713
Al Si
3 1
direct
0.500 0.500 0.244
0.000 0.000 0.500
0.500 0.500 0.756
0.000 0.000 0.000
```

## Properties
As for the crystal system: orthorhombic. The space group is No. 47. The final energy comes out at -8.17 eV/atom. The density of states at the Fermi level is 0.417 states/eV/atom. The raw formation energy is 3.326 kcal/mol of atoms.



No. 4
AlSi: PBEsol geometry, meta-GGA SCAN.

Cell and atoms, written as POSCAR:
```
AlSi
1.0
-0.396 1.451 2.322
-1.024 -2.561 -0.223
7.774 -3.409 3.453
Al Si
2 2
direct
0.667 0.333 0.868
0.333 0.667 0.132
0.333 0.667 0.618
0.667 0.333 0.382
```

## Properties
As for the crystal system: trigonal. The space group is No. 164. The final energy comes out at -8.55 eV/atom. The density of states at the Fermi level is 0.440 states/eV/atom. The raw formation energy is 7.739 kcal/mol of atoms.



No. 5
AlSi2: PBEsol geometry, meta-GGA SCAN.

Cell and atoms, written as POSCAR:
```
AlSi2
1.0
2.619 0.000 0.000
0.000 4.427 0.000
0.000 -2.214 3.834
Si Al
2 1
direct
0.500 0.667 0.333
0.500 0.333 0.667
0.000 0.000 0.000
```

## Properties
As for the crystal system: hexagonal. The space group is No. 191. The final energy comes out at -8.90 eV/atom. The density of states at the Fermi level is 0.369 states/eV/atom. The raw formation energy is 8.318 kcal/mol of atoms.



No. 6
AlSi3: PBEsol geometry, meta-GGA SCAN.

Cell and atoms, written as POSCAR:
```
AlSi3
1.0
-2.198 1.738 -0.437
-2.148 -3.549 2.821
3.196 3.085 2.330
Si Al
3 1
direct
0.500 0.500 0.000
0.000 0.500 0.500
0.500 0.000 0.500
0.000 0.000 0.000
```

## Properties
As for the crystal system: trigonal. The space group is No. 166. The final energy comes out at -8.93 eV/atom. The density of states at the Fermi level is 0.431 states/eV/atom. The value obtained for the energy above the lowest structure with this stoichiometry is 1.178 kcal/mol of atoms. The raw formation energy is 12.013 kcal/mol of atoms.